The following is a DFT calculation (PBE) of a relaxed Tm2LuNb crystal.

## Properties
total moment = 0.00 μB per formula unit
ρ = 9.65 g cm⁻³
calculated formation energy = 0.50 eV/atom
energy = -5.387 eV/atom

Unit cell a=3.2525 b=3.2525 c=11.5300 alpha=81.89 beta=81.89 gamma=60.00
Last column: nearest neighbours and their distance in Å.
Element x y z (fractional)
Tm  0.0845  0.0845  0.7465  1 Nb 2.88
Tm  0.9155  0.9155  0.2535  1 Nb 2.88
Lu  0.5000  0.5000  0.5000  6 Lu 3.25, 6 Tm 3.38
Nb  0.0000  0.0000  0.0000  2 Tm 2.88